Entry 1:
First-principles (GGA-PBE) data for Zn2GeBi2 after structural relaxation, as listed in Alexandria.

## Properties
DOS(E_F), states/eV/cell: 3.10
Energy relative to the elements, meV per atom: 210
E above lowest polymorph, meV per atom: 0
Magnetic moment, μB/f.u.: 0.000

a b c (Å): 6.9734 6.9734 4.8594
angles (deg): 90.00 90.00 90.00
Positions (direct):
Zn 0.1273 0.3727 0.0000
Zn 0.3727 0.8727 0.0000
Zn 0.6273 0.1273 0.0000
Zn 0.8727 0.6273 0.0000
Ge 0.0000 0.0000 0.0000
Ge 0.5000 0.5000 0.0000
Bi 0.2020 0.7020 0.5000
Bi 0.2980 0.2020 0.5000
Bi 0.7020 0.7980 0.5000
Bi 0.7980 0.2980 0.5000



Entry 2:
First-principles (GGA-PBE) data for Tb2Dy3Y6Pu after structural relaxation, as listed in Alexandria.

## Properties
DOS(E_F), states/eV/cell: 24.85
Energy relative to the elements, meV per atom: 48
Magnetic moment, μB/f.u.: 6.444

a b c (Å): 6.1510 6.1510 11.7313
angles (deg): 95.02 95.02 120.02
Positions (direct):
Tb 0.1666 0.8334 0.0000
Tb 0.8334 0.1666 0.0000
Dy 0.0000 0.0000 0.5000
Dy 0.3329 0.6671 0.5000
Dy 0.6671 0.3329 0.5000
Y 0.0878 0.4176 0.7514
Y 0.2526 0.2526 0.2487
Y 0.4176 0.0878 0.7514
Y 0.5824 0.9122 0.2486
Y 0.7474 0.7474 0.7513
Y 0.9122 0.5824 0.2486
Pu 0.5000 0.5000 0.0000



Entry 3:
First-principles (GGA-PBE) data for ZnPPt after structural relaxation, as listed in Alexandria.

## Properties
DOS(E_F), states/eV/cell: 1.80
Energy relative to the elements, meV per atom: -323
E above lowest polymorph, meV per atom: 0
Magnetic moment, μB/f.u.: 0.000

a b c (Å): 4.1708 4.1708 7.1522
angles (deg): 113.20 113.20 62.29
Positions (direct):
Zn 0.1167 0.1167 0.3859
Zn 0.8833 0.8833 0.6141
P 0.3408 0.3408 0.1606
P 0.6592 0.6592 0.8394
Pt 0.3053 0.3053 0.7976
Pt 0.6947 0.6947 0.2024



Entry 4:
First-principles (GGA-PBE) data for YOs2Cl after structural relaxation, as listed in Alexandria.

## Properties
DOS(E_F), states/eV/cell: 6.89
Uncorrected formation energy, eV per atom: 1.2277
E above lowest polymorph, meV per atom: 1447
Magnetic moment, μB/f.u.: 0.000

a b c (Å): 4.6762 4.6762 4.6762
angles (deg): 60.00 60.00 60.00
Positions (direct):
Y 0.0000 0.0000 0.0000
Os 0.2500 0.2500 0.2500
Os 0.7500 0.7500 0.7500
Cl 0.5000 0.5000 0.5000



Entry 5:
First-principles (GGA-PBE) data for Hf5PdN after structural relaxation, as listed in Alexandria.

## Properties
DOS(E_F), states/eV/cell: 13.99
Uncorrected formation energy, eV per atom: -0.5904
Magnetic moment, μB/f.u.: 0.000

a b c (Å): 5.8974 5.8974 9.3058
angles (deg): 108.40 108.40 60.40
Positions (direct):
Hf 0.0368 0.3753 0.6308
Hf 0.0477 0.9523 0.7500
Hf 0.2010 0.5681 0.9758
Hf 0.3753 0.0368 0.1308
Hf 0.4319 0.7990 0.5242
Hf 0.5681 0.2010 0.4758
Hf 0.6247 0.9632 0.8692
Hf 0.7990 0.4319 0.0242
Hf 0.9523 0.0477 0.2500
Hf 0.9632 0.6247 0.3692
Pd 0.4909 0.5091 0.2500
Pd 0.5091 0.4909 0.7500
N 0.0000 0.0000 0.0000
N 0.0000 0.0000 0.5000



Entry 6:
First-principles (GGA-PBE) data for GaCo2Tc after structural relaxation, as listed in Alexandria.

## Properties
DOS(E_F), states/eV/cell: 3.86
Energy relative to the elements, meV per atom: -2
Magnetic moment, μB/f.u.: 1.535

a b c (Å): 8.2337 8.2337 8.2337
angles (deg): 18.77 18.77 18.77
Positions (direct):
Ga 0.0000 0.0000 0.0000
Co 0.4163 0.4163 0.4163
Co 0.5832 0.5832 0.5832
Tc 0.1665 0.1665 0.1665



Entry 7:
First-principles (GGA-PBE) data for PrFeCo after structural relaxation, as listed in Alexandria.

## Properties
DOS(E_F), states/eV/cell: 6.22
Energy relative to the elements, meV per atom: 48
E above lowest polymorph, meV per atom: 29
Magnetic moment, μB/f.u.: 2.931

a b c (Å): 5.2262 5.2262 5.2262
angles (deg): 120.81 117.04 91.90
Positions (direct):
Pr 0.3755 0.1255 0.2500
Pr 0.6245 0.8745 0.7500
Fe 0.0000 0.0000 0.5000
Fe 0.0000 0.5000 0.0000
Co 0.0000 0.5000 0.5000
Co 0.5000 0.5000 0.0000



Entry 8:
First-principles (GGA-PBE) data for K3UTe6Pb2 after structural relaxation, as listed in Alexandria.

## Properties
DOS(E_F), states/eV/cell: 0.43
Uncorrected formation energy, eV per atom: -0.7852
Magnetic moment, μB/f.u.: 1.000

a b c (Å): 8.0831 8.0831 8.5314
angles (deg): 99.12 99.12 119.98
Positions (direct):
K 0.0000 0.0000 0.0000
K 0.3250 0.6750 0.0000
K 0.6750 0.3250 0.0000
U 0.5000 0.5000 0.5000
Te 0.1211 0.4304 0.2904
Te 0.2635 0.2635 0.7117
Te 0.4304 0.1211 0.2904
Te 0.5696 0.8789 0.7096
Te 0.7365 0.7365 0.2883
Te 0.8789 0.5696 0.7096
Pb 0.1649 0.8351 0.5000
Pb 0.8351 0.1649 0.5000